## AlRe2 (SCAN)

Data for a crystal of AlRe2 relaxed with PBEsol.

Structure (CIF):
```
data_AlRe2
_space_group_name_H-M_alt 'I 4/m m m'
_space_group_IT_number 139
_space_group_name_Hall '-I 4 2'
_cell_length_a 2.9724
_cell_length_b 2.9724
_cell_length_c 9.5653
_cell_angle_alpha 90.00
_cell_angle_beta 90.00
_cell_angle_gamma 90.00
loop_
_atom_site_label
_atom_site_type_symbol
_atom_site_fract_x
_atom_site_fract_y
_atom_site_fract_z
_atom_site_occupancy
Al1 Al 0.0000 0.0000 0.0000 1
Re1 Re 0.0000 0.0000 0.3314 1
```

Output
The value obtained for the volume is 85 Å³ per cell. As for the energy relative to the elements: -0.373 eV/atom. The density of states at the Fermi level comes out at 1.5 states/eV/f.u.